MgScP2 | PBEsol | optimized geometry

Values from the calculation:
- Crystal system: trigonal
- ΔH_f (0 K): -3.3 eV per formula unit

a b c (Å): 3.7668 3.7668 18.0980
angles (deg): 90.00 90.00 120.00
Space group R-3m (No. 166, hexagonal axes)
Inequivalent atoms, fractional coordinates:
1 Mg 0.0000 0.0000 0.0000
2 Sc 0.0000 0.0000 0.5000
3 P 0.0000 0.0000 0.2473

NiPbAu2 | PBEsol | optimized geometry

Values from the calculation:
- Crystal system: cubic
- ΔH_f (0 K): 0.7 eV per formula unit

a b c (Å): 6.540 6.540 6.540
angles (deg): 90.00 90.00 90.00
Space group F-43m (No. 216)
Inequivalent atoms, fractional coordinates:
1 Ni 0.000 0.000 0.000
2 Pb 0.250 0.250 0.750
3 Au 0.000 0.000 0.500
4 Au 0.250 0.250 0.250

OsSeCl2 | PBEsol | optimized geometry

Values from the calculation:
- Crystal system: tetragonal
- Formation energy (no corrections): 5.28 eV/f.u.
- Distance to the lowest polymorph of the same formula: 1219.2 meV per atom

a b c (Å): 4.723 4.723 2.921
angles (deg): 90.00 90.00 90.00
Space group P4/mmm (No. 123)
Inequivalent atoms, fractional coordinates:
1 Os 0.000 0.000 0.000
2 Se 0.500 0.500 0.000
3 Cl 0.000 0.500 0.500

NbFeGeSb2 | PBEsol | optimized geometry

Values from the calculation:
- Crystal system: tetragonal
- Formation energy (no corrections): 6.99 eV/f.u.

a b c (Å): 5.159 5.159 4.780
angles (deg): 90.00 90.00 90.00
Space group P4/mmm (No. 123)
Inequivalent atoms, fractional coordinates:
1 Nb 0.000 0.000 0.000
2 Fe 0.500 0.500 0.000
3 Ge 0.000 0.000 0.500
4 Sb 0.000 0.500 0.500

Li2YCd2 | PBEsol | optimized geometry

Values from the calculation:
- Crystal system: tetragonal
- Distance to the lowest polymorph of the same formula: 29.3 meV per atom
- ΔH_f (0 K): -1.0 eV per formula unit

a b c (Å): 3.982 3.982 13.676
angles (deg): 90.00 90.00 90.00
Space group I4/mmm (No. 139)
Inequivalent atoms, fractional coordinates:
1 Li 0.000 0.500 0.250
2 Y 0.000 0.000 0.000
3 Cd 0.000 0.000 0.393

CsScW2O8 | PBEsol | optimized geometry

Values from the calculation:
- Crystal system: trigonal
- Formation energy (no corrections): -29.59 eV/f.u.

a b c (Å): 5.8580 5.8580 7.9916
angles (deg): 90.00 90.00 120.00
Space group P-3m1 (No. 164)
Inequivalent atoms, fractional coordinates:
1 Cs 0.0000 0.0000 0.0000
2 Sc 0.0000 0.0000 0.5000
3 W 0.3333 0.6667 0.2751
4 O 0.1649 0.3297 0.3451
5 O 0.3333 0.6667 0.0557

LiZr2Rh | PBEsol | optimized geometry

Values from the calculation:
- Crystal system: orthorhombic
- ΔH_f (0 K): -0.2 eV per formula unit

a b c (Å): 3.415 4.791 9.114
angles (deg): 90.00 90.00 90.00
Space group Cmm2 (No. 35)
Inequivalent atoms, fractional coordinates:
1 Li 0.000 0.000 0.000
2 Zr 0.000 0.000 0.577
3 Zr 0.000 0.500 0.295
4 Rh 0.000 0.500 0.790

BaTeSe2Br | PBEsol | optimized geometry

Values from the calculation:
- Crystal system: tetragonal
- Formation energy (no corrections): -4.04 eV/f.u.

a b c (Å): 5.424 5.424 5.475
angles (deg): 90.00 90.00 90.00
Space group P4/mmm (No. 123)
Inequivalent atoms, fractional coordinates:
1 Ba 0.000 0.000 0.000
2 Te 0.500 0.500 0.500
3 Se 0.000 0.500 0.500
4 Br 0.500 0.500 0.000

CuPt2Rh | PBEsol | optimized geometry

Values from the calculation:
- Crystal system: monoclinic
- ΔH_f (0 K): -0.1 eV per formula unit

a b c (Å): 8.905 2.707 4.675
angles (deg): 90.00 100.27 90.00
Space group C2/m (No. 12)
Inequivalent atoms, fractional coordinates:
1 Cu 0.000 0.000 0.000
2 Pt 0.250 0.000 0.750
3 Rh 0.000 0.500 0.500

DyAlCu | PBEsol | optimized geometry

Values from the calculation:
- Crystal system: orthorhombic
- ΔH_f (0 K): -1.2 eV per formula unit

a b c (Å): 5.428 5.438 7.485
angles (deg): 90.00 90.00 90.00
Space group Imma (No. 74)
Inequivalent atoms, fractional coordinates:
1 Dy 0.000 0.250 0.127
2 Al 0.250 0.250 0.750
3 Cu 0.000 0.000 0.500

ReRu2W | PBEsol | optimized geometry

Values from the calculation:
- Crystal system: tetragonal
- Distance to the lowest polymorph of the same formula: 0.0 meV per atom
- ΔH_f (0 K): 0.1 eV per formula unit

a b c (Å): 3.854 3.854 3.832
angles (deg): 90.00 90.00 90.00
Space group P4/mmm (No. 123)
Inequivalent atoms, fractional coordinates:
1 Re 0.000 0.000 0.000
2 Ru 0.000 0.500 0.500
3 W 0.500 0.500 0.000

MnIn2Te | PBEsol | optimized geometry

Values from the calculation:
- Crystal system: tetragonal
- Formation energy (no corrections): 0.65 eV/f.u.

a b c (Å): 3.120 3.120 8.586
angles (deg): 90.00 90.00 90.00
Space group P4mm (No. 99)
Inequivalent atoms, fractional coordinates:
1 Mn 0.000 0.000 0.000
2 In 0.000 0.000 0.500
3 In 0.500 0.500 0.789
4 Te 0.500 0.500 0.158

Number 1: DFT total energy -69.74 eV for the cell shown, D(E_F) 6.5 states/eV per cell. Number 2: DFT total energy -69.02 eV for the cell shown, D(E_F) 8.7 states/eV per cell. Number 3: DFT total energy -14.81 eV for the cell shown, D(E_F) 3.7 states/eV per cell. Number 4: DFT total energy -26.85 eV for the cell shown, D(E_F) 7.0 states/eV per cell. Number 5: DFT total energy -28.21 eV for the cell shown, D(E_F) 6.1 states/eV per cell. Number 6: DFT total energy -106.75 eV for the cell shown, D(E_F) 0.0 states/eV per cell. Number 7: DFT total energy -56.99 eV for the cell shown, D(E_F) 7.1 states/eV per cell. Number 8: DFT total energy -19.29 eV for the cell shown, D(E_F) 0.7 states/eV per cell. Number 9: DFT total energy -52.94 eV for the cell shown, D(E_F) 12.7 states/eV per cell. Number 10: DFT total energy -58.22 eV for the cell shown, D(E_F) 7.3 states/eV per cell. Number 11: DFT total energy -47.41 eV for the cell shown, D(E_F) 4.1 states/eV per cell. Number 12: DFT total energy -18.60 eV for the cell shown, D(E_F) 2.0 states/eV per cell.